Entry 1:
Ni4Ru after structural relaxation. Source: the Alexandria database, functional PBE-GGA.

Properties
distance to the lowest polymorph of the same formula	0.0000	eV/atom
D(E_F)	1.569	states/eV per atom

Cell lengths 5.677, 5.677, 3.558 Å; angles 90.00, 90.00, 90.00 degrees
Atoms (fractional coordinates):
Ni (0.102, 0.301, 0.000)
Ni (0.199, 0.602, 0.500)
Ni (0.301, 0.898, 0.000)
Ni (0.398, 0.199, 0.500)
Ni (0.602, 0.801, 0.500)
Ni (0.699, 0.102, 0.000)
Ni (0.801, 0.398, 0.500)
Ni (0.898, 0.699, 0.000)
Ru (0.000, 0.000, 0.500)
Ru (0.500, 0.500, 0.000)

---

Entry 2:
NiRu2S4 after structural relaxation. Source: the Alexandria database, functional PBE-GGA.

Properties
formation energy without anion corrections	-0.337	eV per atom
D(E_F)	1.137	states/eV per atom

Cell lengths 6.852, 6.852, 11.899 Å; angles 106.68, 106.68, 60.10 degrees
Atoms (fractional coordinates):
Ni (0.062, 0.564, 0.688)
Ni (0.436, 0.938, 0.812)
Ni (0.564, 0.062, 0.188)
Ni (0.938, 0.436, 0.312)
Ru (0.000, 0.000, 0.000)
Ru (0.000, 0.000, 0.500)
Ru (0.000, 0.500, 0.000)
Ru (0.252, 0.748, 0.250)
Ru (0.500, 0.000, 0.500)
Ru (0.500, 0.500, 0.000)
Ru (0.500, 0.500, 0.500)
Ru (0.748, 0.252, 0.750)
S (0.113, 0.132, 0.877)
S (0.127, 0.628, 0.882)
S (0.132, 0.113, 0.377)
S (0.132, 0.632, 0.378)
S (0.368, 0.385, 0.123)
S (0.368, 0.868, 0.122)
S (0.372, 0.873, 0.618)
S (0.385, 0.368, 0.623)
S (0.615, 0.632, 0.377)
S (0.628, 0.127, 0.382)
S (0.632, 0.132, 0.878)
S (0.632, 0.615, 0.877)
S (0.868, 0.368, 0.622)
S (0.868, 0.887, 0.623)
S (0.873, 0.372, 0.118)
S (0.887, 0.868, 0.123)

---

Entry 3:
Ni2RuS after structural relaxation. Source: the Alexandria database, functional PBE-GGA.

Properties
formation energy without anion corrections	0.131	eV per atom
D(E_F)	1.136	states/eV per atom

Cell lengths 6.596, 6.596, 4.672 Å; angles 90.00, 90.00, 90.00 degrees
Atoms (fractional coordinates):
Ni (0.202, 0.250, 0.125)
Ni (0.250, 0.702, 0.375)
Ni (0.250, 0.798, 0.875)
Ni (0.298, 0.250, 0.625)
Ni (0.702, 0.750, 0.625)
Ni (0.750, 0.202, 0.875)
Ni (0.750, 0.298, 0.375)
Ni (0.798, 0.750, 0.125)
Ru (0.000, 0.000, 0.500)
Ru (0.000, 0.500, 0.750)
Ru (0.500, 0.000, 0.250)
Ru (0.500, 0.500, 0.000)
S (0.000, 0.000, 0.000)
S (0.000, 0.500, 0.250)
S (0.500, 0.000, 0.750)
S (0.500, 0.500, 0.500)

---

Entry 4:
NiRuS2 after structural relaxation. Source: the Alexandria database, functional PBE-GGA.

Properties
distance to the lowest polymorph of the same formula	0.2304	eV/atom
formation energy without anion corrections	-0.036	eV per atom
D(E_F)	2.499	states/eV per atom

Cell lengths 3.366, 3.366, 20.893 Å; angles 90.00, 90.00, 120.00 degrees
Atoms (fractional coordinates):
Ni (0.000, 0.000, 0.000)
Ni (0.333, 0.667, 0.667)
Ni (0.667, 0.333, 0.333)
Ru (0.000, 0.000, 0.500)
Ru (0.333, 0.667, 0.167)
Ru (0.667, 0.333, 0.833)
S (0.000, 0.000, 0.101)
S (0.000, 0.000, 0.899)
S (0.333, 0.667, 0.566)
S (0.333, 0.667, 0.767)
S (0.667, 0.333, 0.233)
S (0.667, 0.333, 0.434)

---

Entry 5:
NiRu2S after structural relaxation. Source: the Alexandria database, functional PBE-GGA.

Properties
formation energy without anion corrections	0.568	eV per atom
D(E_F)	0.834	states/eV per atom

Cell lengths 5.099, 5.099, 10.870 Å; angles 90.00, 90.00, 90.00 degrees
Atoms (fractional coordinates):
Ni (0.000, 0.000, 0.000)
Ni (0.000, 0.500, 0.250)
Ni (0.500, 0.000, 0.750)
Ni (0.500, 0.500, 0.500)
Ru (0.227, 0.250, 0.625)
Ru (0.250, 0.727, 0.875)
Ru (0.250, 0.773, 0.375)
Ru (0.273, 0.250, 0.125)
Ru (0.727, 0.750, 0.125)
Ru (0.750, 0.227, 0.375)
Ru (0.750, 0.273, 0.875)
Ru (0.773, 0.750, 0.625)
S (0.000, 0.000, 0.500)
S (0.000, 0.500, 0.750)
S (0.500, 0.000, 0.250)
S (0.500, 0.500, 0.000)

---

Entry 6:
NiRuS2 after structural relaxation. Source: the Alexandria database, functional PBE-GGA.

Properties
distance to the lowest polymorph of the same formula	0.0000	eV/atom
formation energy without anion corrections	-0.266	eV per atom
D(E_F)	0.766	states/eV per atom

Cell lengths 5.115, 5.115, 10.367 Å; angles 90.00, 90.00, 90.00 degrees
Atoms (fractional coordinates):
Ni (0.000, 0.000, 0.000)
Ni (0.000, 0.500, 0.250)
Ni (0.500, 0.000, 0.750)
Ni (0.500, 0.500, 0.500)
Ru (0.000, 0.000, 0.500)
Ru (0.000, 0.500, 0.750)
Ru (0.500, 0.000, 0.250)
Ru (0.500, 0.500, 0.000)
S (0.241, 0.250, 0.125)
S (0.250, 0.741, 0.375)
S (0.250, 0.759, 0.875)
S (0.259, 0.250, 0.625)
S (0.741, 0.750, 0.625)
S (0.750, 0.241, 0.875)
S (0.750, 0.259, 0.375)
S (0.759, 0.750, 0.125)

---

Entry 7:
NiRuS4 after structural relaxation. Source: the Alexandria database, functional PBE-GGA.

Properties
formation energy without anion corrections	-0.375	eV per atom
D(E_F)	0.547	states/eV per atom

Cell lengths 5.598, 5.661, 5.676 Å; angles 90.00, 90.66, 90.00 degrees
Atoms (fractional coordinates):
Ni (0.000, 0.000, 0.000)
Ni (0.000, 0.500, 0.500)
Ru (0.500, 0.000, 0.500)
Ru (0.500, 0.500, 0.000)
S (0.108, 0.110, 0.604)
S (0.108, 0.390, 0.104)
S (0.390, 0.611, 0.611)
S (0.390, 0.889, 0.111)
S (0.610, 0.111, 0.889)
S (0.610, 0.389, 0.389)
S (0.892, 0.610, 0.896)
S (0.892, 0.890, 0.396)

---

Entry 8:
NiRuS2 after structural relaxation. Source: the Alexandria database, functional PBE-GGA.

Properties
distance to the lowest polymorph of the same formula	0.3088	eV/atom
formation energy without anion corrections	0.043	eV per atom
D(E_F)	0.880	states/eV per atom

Cell lengths 3.149, 3.149, 21.345 Å; angles 90.00, 90.00, 120.00 degrees
Atoms (fractional coordinates):
Ni (0.000, 0.000, 0.000)
Ni (0.333, 0.667, 0.667)
Ni (0.667, 0.333, 0.333)
Ru (0.000, 0.000, 0.500)
Ru (0.333, 0.667, 0.167)
Ru (0.667, 0.333, 0.833)
S (0.000, 0.000, 0.396)
S (0.000, 0.000, 0.604)
S (0.333, 0.667, 0.062)
S (0.333, 0.667, 0.271)
S (0.667, 0.333, 0.729)
S (0.667, 0.333, 0.938)

---

Entry 9:
NiRuS2 after structural relaxation. Source: the Alexandria database, functional PBE-GGA.

Properties
distance to the lowest polymorph of the same formula	0.4294	eV/atom
formation energy without anion corrections	0.164	eV per atom
D(E_F)	0.402	states/eV per atom

Cell lengths 5.912, 5.912, 5.912 Å; angles 90.00, 90.00, 90.00 degrees
Atoms (fractional coordinates):
Ni (0.000, 0.000, 0.000)
Ni (0.000, 0.500, 0.500)
Ni (0.500, 0.000, 0.500)
Ni (0.500, 0.500, 0.000)
Ru (0.000, 0.000, 0.500)
Ru (0.000, 0.500, 0.000)
Ru (0.500, 0.000, 0.000)
Ru (0.500, 0.500, 0.500)
S (0.250, 0.250, 0.250)
S (0.250, 0.250, 0.750)
S (0.250, 0.750, 0.250)
S (0.250, 0.750, 0.750)
S (0.750, 0.250, 0.250)
S (0.750, 0.250, 0.750)
S (0.750, 0.750, 0.250)
S (0.750, 0.750, 0.750)

---

Entry 10:
TaNiRu2S after structural relaxation. Source: the Alexandria database, functional PBE-GGA.

Properties
formation energy without anion corrections	1.058	eV per atom
D(E_F)	0.877	states/eV per atom

Cell lengths 4.644, 4.644, 3.820 Å; angles 90.00, 90.00, 90.00 degrees
Atoms (fractional coordinates):
Ta (0.000, 0.000, 0.000)
Ni (0.500, 0.500, 0.500)
Ru (0.000, 0.500, 0.500)
Ru (0.500, 0.000, 0.500)
S (0.500, 0.500, 0.000)

---

Entry 11:
ZrNi2RuS after structural relaxation. Source: the Alexandria database, functional PBE-GGA.

Properties
formation energy without anion corrections	-0.066	eV per atom
D(E_F)	0.703	states/eV per atom

Cell lengths 4.138, 4.138, 4.501 Å; angles 90.00, 90.00, 90.00 degrees
Atoms (fractional coordinates):
Zr (0.000, 0.000, 0.000)
Ni (0.000, 0.500, 0.500)
Ni (0.500, 0.000, 0.500)
Ru (0.500, 0.500, 0.000)
S (0.500, 0.500, 0.500)

---

Entry 12:
NiSbRu2 after structural relaxation. Source: the Alexandria database, functional PBE-GGA.

Properties
formation energy without anion corrections	0.466	eV per atom
D(E_F)	1.698	states/eV per atom

Cell lengths 3.013, 3.013, 23.766 Å; angles 90.00, 90.00, 120.00 degrees
Atoms (fractional coordinates):
Ni (0.000, 0.000, 0.000)
Ni (0.333, 0.667, 0.667)
Ni (0.667, 0.333, 0.333)
Sb (0.000, 0.000, 0.500)
Sb (0.333, 0.667, 0.167)
Sb (0.667, 0.333, 0.833)
Ru (0.000, 0.000, 0.253)
Ru (0.000, 0.000, 0.747)
Ru (0.333, 0.667, 0.414)
Ru (0.333, 0.667, 0.920)
Ru (0.667, 0.333, 0.080)
Ru (0.667, 0.333, 0.586)

---

Entry 13:
NiSbRu2 after structural relaxation. Source: the Alexandria database, functional PBE-GGA.

Properties
formation energy without anion corrections	0.146	eV per atom
D(E_F)	0.948	states/eV per atom

Cell lengths 8.526, 2.967, 4.865 Å; angles 90.00, 102.48, 90.00 degrees
Atoms (fractional coordinates):
Ni (0.000, 0.000, 0.000)
Ni (0.500, 0.500, 0.000)
Sb (0.000, 0.500, 0.500)
Sb (0.500, 0.000, 0.500)
Ru (0.248, 0.500, 0.223)
Ru (0.252, 0.000, 0.777)
Ru (0.748, 0.000, 0.223)
Ru (0.752, 0.500, 0.777)

---

Entry 14:
NiSbRu2 after structural relaxation. Source: the Alexandria database, functional PBE-GGA.

Properties
formation energy without anion corrections	0.360	eV per atom
D(E_F)	1.377	states/eV per atom

Cell lengths 5.344, 9.011, 2.903 Å; angles 90.00, 119.09, 90.00 degrees
Atoms (fractional coordinates):
Ni (0.000, 0.000, 0.000)
Ni (0.500, 0.500, 0.000)
Sb (0.000, 0.500, 0.000)
Sb (0.500, 0.000, 0.000)
Ru (0.250, 0.250, 0.500)
Ru (0.250, 0.750, 0.500)
Ru (0.750, 0.250, 0.500)
Ru (0.750, 0.750, 0.500)

---

Entry 15:
NiSbRu2 after structural relaxation. Source: the Alexandria database, functional PBE-GGA.

Properties
formation energy without anion corrections	0.249	eV per atom
D(E_F)	0.962	states/eV per atom

Cell lengths 6.202, 6.202, 6.202 Å; angles 90.00, 90.00, 90.00 degrees
Atoms (fractional coordinates):
Ni (0.000, 0.000, 0.000)
Ni (0.000, 0.500, 0.500)
Ni (0.500, 0.000, 0.500)
Ni (0.500, 0.500, 0.000)
Sb (0.250, 0.250, 0.750)
Sb (0.250, 0.750, 0.250)
Sb (0.750, 0.250, 0.250)
Sb (0.750, 0.750, 0.750)
Ru (0.000, 0.000, 0.500)
Ru (0.000, 0.500, 0.000)
Ru (0.250, 0.250, 0.250)
Ru (0.250, 0.750, 0.750)
Ru (0.500, 0.000, 0.000)
Ru (0.500, 0.500, 0.500)
Ru (0.750, 0.250, 0.750)
Ru (0.750, 0.750, 0.250)

---

Entry 16:
NiSbRu4 after structural relaxation. Source: the Alexandria database, functional PBE-GGA.

Properties
formation energy without anion corrections	0.656	eV per atom
D(E_F)	1.653	states/eV per atom

Cell lengths 5.141, 5.141, 5.141 Å; angles 60.00, 60.00, 60.00 degrees
Atoms (fractional coordinates):
Ni (0.000, 0.000, 0.000)
Sb (0.750, 0.750, 0.750)
Ru (0.374, 0.374, 0.374)
Ru (0.374, 0.374, 0.877)
Ru (0.374, 0.877, 0.374)
Ru (0.877, 0.374, 0.374)

---

Entry 17:
NiSbRu2 after structural relaxation. Source: the Alexandria database, functional PBE-GGA.

Properties
formation energy without anion corrections	0.117	eV per atom
D(E_F)	1.126	states/eV per atom

Cell lengths 3.920, 3.920, 7.667 Å; angles 90.00, 90.00, 90.00 degrees
Atoms (fractional coordinates):
Ni (0.000, 0.000, 0.000)
Ni (0.500, 0.500, 0.500)
Sb (0.000, 0.500, 0.750)
Sb (0.500, 0.000, 0.250)
Ru (0.000, 0.000, 0.500)
Ru (0.000, 0.500, 0.250)
Ru (0.500, 0.000, 0.750)
Ru (0.500, 0.500, 0.000)

---

Entry 18:
NiSb6Ru after structural relaxation. Source: the Alexandria database, functional PBE-GGA.

Properties
formation energy without anion corrections	-0.195	eV per atom
D(E_F)	0.221	states/eV per atom

Cell lengths 8.016, 8.016, 9.280 Å; angles 124.90, 124.90, 71.03 degrees
Atoms (fractional coordinates):
Ni (0.000, 0.500, 0.000)
Ni (0.500, 0.000, 0.000)
Sb (0.006, 0.319, 0.161)
Sb (0.160, 0.835, 0.340)
Sb (0.165, 0.840, 0.660)
Sb (0.319, 0.006, 0.161)
Sb (0.342, 0.342, 0.002)
Sb (0.344, 0.344, 0.679)
Sb (0.656, 0.656, 0.321)
Sb (0.658, 0.658, 0.998)
Sb (0.681, 0.994, 0.839)
Sb (0.835, 0.160, 0.340)
Sb (0.840, 0.165, 0.660)
Sb (0.994, 0.681, 0.839)
Ru (0.000, 0.500, 0.500)
Ru (0.500, 0.000, 0.500)

---

Entry 19:
NiSbRu2 after structural relaxation. Source: the Alexandria database, functional PBE-GGA.

Properties
formation energy without anion corrections	0.227	eV per atom
D(E_F)	1.331	states/eV per atom

Cell lengths 3.169, 3.169, 5.929 Å; angles 90.00, 90.00, 90.00 degrees
Atoms (fractional coordinates):
Ni (0.000, 0.000, 0.000)
Sb (0.000, 0.000, 0.500)
Ru (0.500, 0.500, 0.233)
Ru (0.500, 0.500, 0.767)

---

Entry 20:
NiSbRu2 after structural relaxation. Source: the Alexandria database, functional PBE-GGA.

Properties
formation energy without anion corrections	0.180	eV per atom
D(E_F)	1.206	states/eV per atom

Cell lengths 2.925, 3.737, 5.498 Å; angles 90.00, 90.00, 90.00 degrees
Atoms (fractional coordinates):
Ni (0.000, 0.000, 0.000)
Sb (0.500, 0.500, 0.747)
Ru (0.000, 0.000, 0.461)
Ru (0.500, 0.500, 0.234)